Record 1
{
  "formula": "NaAlGeAu3",
  "functional": "GGA-PBE",
  "state": "optimized geometry",
  "cell": [[3.500, -6.957, 0.000], [3.500, 6.957, 0.000], [0.000, 0.000, 6.096]],
  "species": ["Na", "Na", "Al", "Al", "Ge", "Ge", "Au", "Au", "Au", "Au", "Au", "Au"],
  "fractional_positions": [[0.210, 0.790, 0.750], [0.790, 0.210, 0.250], [0.465, 0.535, 0.250], [0.535, 0.465, 0.750], [0.107, 0.893, 0.250], [0.893, 0.107, 0.750], [0.214, 0.214, 0.000], [0.214, 0.214, 0.500], [0.287, 0.713, 0.250], [0.713, 0.287, 0.750], [0.786, 0.786, 0.000], [0.786, 0.786, 0.500]],
  "formation_enthalpy_0k_ev_per_atom": -0.1561,
  "energy_ev_per_cell": -40.9
}

---

Record 2
{
  "formula": "Nd2Al4GeAu3",
  "functional": "GGA-PBE",
  "state": "optimized geometry",
  "cell": [[4.447, 0.000, 0.000], [0.000, 4.447, 0.000], [0.000, 0.000, 10.362]],
  "species": ["Nd", "Nd", "Al", "Al", "Al", "Al", "Ge", "Au", "Au", "Au"],
  "fractional_positions": [[0.000, 0.500, 0.247], [0.500, 0.000, 0.753], [0.000, 0.000, 0.500], [0.000, 0.500, 0.868], [0.500, 0.000, 0.132], [0.500, 0.500, 0.500], [0.500, 0.500, 0.000], [0.000, 0.000, 0.000], [0.000, 0.500, 0.629], [0.500, 0.000, 0.371]],
  "formation_enthalpy_0k_ev_per_atom": -0.6942,
  "energy_ev_per_cell": -45.9
}

---

- Which formula does entry 2 have?
  Nd2Al4GeAu3